1.
VASP calculation (SCAN) on MgTcCl2 at its PBEsol-relaxed geometry.

a b c (Å): 4.4073 4.4073 3.1003
angles (deg): 90.00 90.00 90.00
With the nearest neighbours (Å) after each atom.
Fractional coordinates of all 4 atoms:
Mg (0.0000, 0.0000, 0.0000)  8 Cl 2.69
Tc (0.5000, 0.5000, 0.0000)  8 Cl 2.69
Cl (0.0000, 0.5000, 0.5000)  4 Tc 2.69, 4 Mg 2.69
Cl (0.5000, 0.0000, 0.5000)  4 Tc 2.69, 4 Mg 2.69

Space group: P4/mmm (123)

2.
VASP calculation (SCAN) on MgTcCl2 at its PBEsol-relaxed geometry.

a b c (Å): 6.6844 6.6844 6.6844
angles (deg): 153.07 140.65 48.32
With the nearest neighbours (Å) after each atom.
Fractional coordinates of all 4 atoms:
Mg (0.0000, 0.0000, 0.0000)  4 Tc 2.74, 4 Cl 2.89
Tc (0.5000, 0.5000, 0.0000)  4 Cl 2.39
Cl (0.3514, 0.8514, 0.5000)  2 Tc 2.39
Cl (0.6486, 0.1486, 0.5000)  2 Tc 2.39

Space group: Immm (71)

The energetic minimum among the shown structures is 2; the next structure lies 61.5 kJ/mol of atoms above.